Tb5Y4Sc: optimized geometry, PBE.

Cell lengths 3.4596, 10.9662, 8.9218 Å; angles 73.18, 101.18, 90.00 degrees
Closest atoms and distances in Å follow each position.
Fractional positions:
1 Tb 0.1052 0.7132 0.2103  3 Y 3.30-3.54, 5 Tb 3.35-3.60, 2 Sc 3.59
2 Tb 0.5000 0.5000 0.0000  10 Tb 3.46-3.87, 4 Y 3.72
3 Tb 0.2072 0.4019 0.4143  7 Tb 3.35-3.60, 2 Y 3.39-3.49
4 Tb 0.7928 0.5981 0.5857  7 Tb 3.35-3.60, 2 Y 3.39-3.49
5 Tb 0.8948 0.2868 0.7897  3 Y 3.30-3.54, 5 Tb 3.35-3.60, 2 Sc 3.59
6 Sc 0.5000 0.0000 0.0000  6 Y 3.28-3.46, 2 Sc 3.46, 4 Tb 3.59
7 Y 0.0922 0.1909 0.1844  2 Tb 3.30-3.49, 5 Y 3.46-3.54, 2 Sc 3.46
8 Y 0.3037 0.0844 0.6073  1 Sc 3.28, 3 Tb 3.39-3.54, 7 Y 3.46-3.54
9 Y 0.6963 0.9156 0.3926  1 Sc 3.28, 3 Tb 3.39-3.54, 7 Y 3.46-3.54
10 Y 0.9078 0.8091 0.8156  2 Tb 3.30-3.49, 5 Y 3.46-3.54, 2 Sc 3.46

Summary:
The energy above the most stable polymorph in this dataset comes out at 0 meV per atom.

=====

Tb6YSc5: optimized geometry, PBE.

Cell lengths 10.6786, 4.9136, 7.7848 Å; angles 71.60, 81.65, 62.60 degrees
Closest atoms and distances in Å follow each position.
Fractional positions:
1 Sc 0.5000 0.8332 0.3335  8 Tb 3.37-3.39, 4 Sc 3.48
2 Sc 0.5000 0.5000 0.0000  8 Tb 3.37-3.40, 4 Sc 3.48
3 Sc 0.0000 0.6693 0.6614  8 Tb 3.41-3.49, 2 Sc 3.42, 2 Y 3.51
4 Sc 0.5000 0.1668 0.6665  8 Tb 3.37-3.39, 4 Sc 3.48
5 Sc 0.0000 0.3307 0.3386  8 Tb 3.41-3.49, 2 Sc 3.42, 2 Y 3.51
6 Tb 0.7457 0.4222 0.6641  7 Sc 3.37-3.44, 4 Tb 3.45-3.49, 1 Y 3.46
7 Tb 0.7457 0.0863 0.3359  7 Sc 3.37-3.44, 4 Tb 3.45-3.49, 1 Y 3.46
8 Tb 0.2543 0.9137 0.6641  7 Sc 3.37-3.44, 4 Tb 3.45-3.49, 1 Y 3.46
9 Tb 0.7437 0.7563 0.0000  6 Sc 3.37-3.49, 2 Y 3.46, 4 Tb 3.49
10 Tb 0.2563 0.2437 0.0000  6 Sc 3.37-3.49, 2 Y 3.46, 4 Tb 3.49
11 Tb 0.2543 0.5778 0.3359  7 Sc 3.37-3.44, 4 Tb 3.45-3.49, 1 Y 3.46
12 Y 0.0000 0.0000 0.0000  8 Tb 3.46, 4 Sc 3.51

=====

Tb6YSc2: optimized geometry, PBE.

Cell lengths 5.5200, 11.6766, 11.6766 Å; angles 48.26, 103.56, 103.56 degrees
Closest atoms and distances in Å follow each position.
Fractional positions:
1 Tb 0.6595 0.9968 0.8299  3 Tb 3.18-3.19, 1 Sc 3.36
2 Tb 0.1670 0.4969 0.3295  3 Tb 3.18-3.19, 1 Sc 3.36
3 Tb 0.3330 0.6705 0.5031  3 Tb 3.18-3.19, 1 Sc 3.36
4 Tb 0.3405 0.0032 0.1701  3 Tb 3.18-3.19, 1 Sc 3.36
5 Tb 0.9203 0.9204 0.4203  7 Tb 3.28-3.64, 1 Y 3.51, 6 Sc 3.57-3.60
6 Tb 0.8405 0.1701 0.0032  3 Tb 3.18-3.19, 1 Sc 3.36
7 Tb 0.6670 0.3295 0.4969  3 Tb 3.18-3.19, 1 Sc 3.36
8 Tb 0.8330 0.5031 0.6705  3 Tb 3.18-3.19, 1 Sc 3.36
9 Tb 0.0797 0.0796 0.5797  7 Tb 3.28-3.64, 1 Y 3.51, 6 Sc 3.57-3.60
10 Tb 0.1595 0.8299 0.9968  3 Tb 3.18-3.19, 1 Sc 3.36
11 Tb 0.4203 0.4203 0.9204  7 Tb 3.28-3.64, 1 Y 3.51, 6 Sc 3.57-3.60
12 Tb 0.5797 0.5797 0.0796  7 Tb 3.28-3.64, 1 Y 3.51, 6 Sc 3.57-3.60
13 Y 0.2500 0.2502 0.7498  14 Tb 3.51-3.67
14 Y 0.7500 0.7498 0.2502  14 Tb 3.51-3.67
15 Sc 0.0029 0.6666 0.8335  3 Sc 3.18-3.19, 2 Tb 3.36
16 Sc 0.5029 0.8335 0.6666  3 Sc 3.18-3.19, 2 Tb 3.36
17 Sc 0.4971 0.1665 0.3334  3 Sc 3.18-3.19, 2 Tb 3.36
18 Sc 0.9971 0.3334 0.1665  3 Sc 3.18-3.19, 2 Tb 3.36

Summary:
The energy above the most stable polymorph in this dataset comes out at 0 meV per atom.

=====

The formation energy from the elements results, record by record, are as follows: 2.687 1.149 1.696 kcal/mol of atoms.